(A)
First-principles (GGA-PBE) data for a relaxed structure of MnBeB3, as listed in Alexandria.

Cell: 3.7320 3.7320 3.7320 Å, 90.00 90.00 90.00°
With the nearest neighbours (Å) after each atom.
Fractional coordinates of all 5 atoms:
Be (0.5000, 0.5000, 0.5000)  12 B 2.64
B (0.0000, 0.5000, 0.0000)  2 Mn 1.87
B (0.0000, 0.0000, 0.5000)  2 Mn 1.87
B (0.5000, 0.0000, 0.0000)  2 Mn 1.87
Mn (0.0000, 0.0000, 0.0000)  6 B 1.87

---

(B)
First-principles (GGA-PBE) data for a relaxed structure of MnBeB3, as listed in Alexandria.

Cell: 3.4208 3.4208 3.4208 Å, 90.00 90.00 90.00°
With the nearest neighbours (Å) after each atom.
Fractional coordinates of all 5 atoms:
Be (0.0000, 0.0000, 0.0000)  6 B 1.71
B (0.0000, 0.5000, 0.0000)  2 Be 1.71
B (0.0000, 0.0000, 0.5000)  2 Be 1.71
B (0.5000, 0.0000, 0.0000)  2 Be 1.71
Mn (0.5000, 0.5000, 0.5000)  12 B 2.42

---

Energies relative to the most stable structure, in meV per atom: (A) 0; (B) 343.

---

(A)
First-principles (GGA-PBE) data for a relaxed structure of Mn2BeB, as listed in Alexandria.

Cell: 3.6922 3.6922 3.6922 Å, 60.00 60.00 60.00°
With the nearest neighbours (Å) after each atom.
Fractional coordinates of all 4 atoms:
Be (0.0000, 0.0000, 0.0000)  8 Mn 2.26
B (0.5000, 0.5000, 0.5000)  8 Mn 2.26
Mn (0.2500, 0.2500, 0.2500)  4 B 2.26, 4 Be 2.26
Mn (0.7500, 0.7500, 0.7500)  4 Be 2.26, 4 B 2.26

---

(B)
First-principles (GGA-PBE) data for a relaxed structure of Mn2BeB, as listed in Alexandria.

Cell: 5.6780 5.6780 4.6620 Å, 52.48 52.48 90.00°
With the nearest neighbours (Å) after each atom.
Fractional coordinates of all 8 atoms:
Be (0.5000, 0.5000, 0.0000)  4 Mn 2.21, 2 B 2.37
Be (0.2500, 0.7500, 0.5000)  4 Mn 2.21, 2 B 2.37
B (0.0000, 0.0000, 0.0000)  4 Mn 1.98
B (0.7500, 0.2500, 0.5000)  4 Mn 1.98
Mn (0.6547, 0.1250, 0.2500)  2 B 1.98, 2 Be 2.21
Mn (0.0953, 0.6250, 0.2500)  2 B 1.98, 2 Be 2.21
Mn (0.3750, 0.3453, 0.7500)  2 B 1.98, 2 Be 2.21
Mn (0.8750, 0.9047, 0.7500)  2 B 1.98, 2 Be 2.21

---

Energies relative to the most stable structure, in meV per atom: (A) 0; (B) 311.

---

(A)
First-principles (GGA-PBE) data for a relaxed structure of BeBMo, as listed in Alexandria.

Cell: 3.1581 4.4550 4.7320 Å, 73.39 70.51 69.24°
With the nearest neighbours (Å) after each atom.
Fractional coordinates of all 6 atoms:
Be (0.3051, 0.2979, 0.0918)  3 B 2.00-2.05
Be (0.6949, 0.7021, 0.9082)  3 B 2.00-2.05
B (0.6325, 0.4043, 0.3306)  1 B 1.84, 3 Be 2.00-2.05
B (0.3675, 0.5957, 0.6694)  1 B 1.84, 3 Be 2.00-2.05
Mo (0.9276, 0.8242, 0.3206)  5 B 2.29-2.43, 2 Be 2.55
Mo (0.0724, 0.1758, 0.6794)  5 B 2.29-2.43, 2 Be 2.55

---

(B)
First-principles (GGA-PBE) data for a relaxed structure of BeBMo, as listed in Alexandria.

Cell: 8.9338 8.9338 5.7093 Å, 39.79 39.79 51.77°
With the nearest neighbours (Å) after each atom.
Fractional coordinates of all 18 atoms:
B (0.2347, 0.7653, 0.7500)  2 B 1.76, 2 Be 1.93
B (0.7653, 0.2347, 0.2500)  2 B 1.76, 2 Be 1.93
B (0.3796, 0.5325, 0.6992)  3 B 1.76-1.93, 2 Be 1.94-1.95
B (0.4675, 0.6204, 0.8008)  3 B 1.76-1.93, 2 Be 1.94-1.95
B (0.6204, 0.4675, 0.3008)  3 B 1.76-1.93, 2 Be 1.94-1.95
B (0.5325, 0.3796, 0.1992)  3 B 1.76-1.93, 2 Be 1.94-1.95
Mo (0.9491, 0.0509, 0.7500)  1 B 2.23, 1 Be 2.42
Mo (0.0509, 0.9491, 0.2500)  1 B 2.23, 1 Be 2.42
Mo (0.3411, 0.2030, 0.9382)  3 B 2.24-2.29, 1 Be 2.50
Mo (0.7970, 0.6589, 0.5618)  3 B 2.24-2.29, 1 Be 2.50
Mo (0.6589, 0.7970, 0.0618)  3 B 2.24-2.29, 1 Be 2.50
Mo (0.2030, 0.3411, 0.4382)  3 B 2.24-2.29, 1 Be 2.50
Be (0.6389, 0.3611, 0.7500)  4 B 1.94-2.05
Be (0.3611, 0.6389, 0.2500)  4 B 1.94-2.05
Be (0.0424, 0.5889, 0.9912)  2 B 1.93-1.95, 1 Be 2.06
Be (0.4111, 0.9576, 0.5088)  2 B 1.93-1.95, 1 Be 2.06
Be (0.9576, 0.4111, 0.0088)  2 B 1.93-1.95, 1 Be 2.06
Be (0.5889, 0.0424, 0.4912)  2 B 1.93-1.95, 1 Be 2.06

---

Energies relative to the most stable structure, in meV per atom: (A) 0; (B) 484.

---

(A)
First-principles (GGA-PBE) data for a relaxed structure of Be3BMo, as listed in Alexandria.

Cell: 3.6267 3.6267 3.6267 Å, 90.00 90.00 90.00°
With the nearest neighbours (Å) after each atom.
Fractional coordinates of all 5 atoms:
Be (0.0000, 0.5000, 0.0000)  2 B 1.81
Be (0.0000, 0.0000, 0.5000)  2 B 1.81
Be (0.5000, 0.0000, 0.0000)  2 B 1.81
Mo (0.5000, 0.5000, 0.5000)  12 Be 2.56
B (0.0000, 0.0000, 0.0000)  6 Be 1.81

---

(B)
First-principles (GGA-PBE) data for a relaxed structure of Be3BMo, as listed in Alexandria.

Cell: 4.2690 4.2690 4.2690 Å, 90.00 90.00 90.00°
With the nearest neighbours (Å) after each atom.
Fractional coordinates of all 5 atoms:
Be (0.0000, 0.5000, 0.0000)  2 Mo 2.13
Be (0.0000, 0.0000, 0.5000)  2 Mo 2.13
Be (0.5000, 0.0000, 0.0000)  2 Mo 2.13
Mo (0.0000, 0.0000, 0.0000)  6 Be 2.13
B (0.5000, 0.5000, 0.5000)  12 Be 3.02

---

(C)
First-principles (GGA-PBE) data for a relaxed structure of Be3BMo, as listed in Alexandria.

Cell: 3.1077 3.2130 9.1391 Å, 79.81 80.21 90.00°
With the nearest neighbours (Å) after each atom.
Fractional coordinates of all 10 atoms:
Be (0.0300, 0.7803, 0.9400)  1 B 1.86, 2 Be 1.93
Be (0.9700, 0.2197, 0.0600)  1 B 1.86, 2 Be 1.93
Be (0.2982, 0.0481, 0.4036)  2 B 1.95
Be (0.7018, 0.9519, 0.5964)  2 B 1.95
Be (0.2010, 0.4515, 0.5980)  2 B 1.99
Be (0.7990, 0.5485, 0.4020)  2 B 1.99
B (0.8650, 0.1151, 0.2701)  5 Be 1.86-1.99
B (0.1350, 0.8849, 0.7299)  5 Be 1.86-1.99
Mo (0.5871, 0.3371, 0.8258)  4 B 2.39, 10 Be 2.45-2.59
Mo (0.4129, 0.6629, 0.1742)  4 B 2.39, 10 Be 2.45-2.59

---

Energies relative to the most stable structure, in meV per atom: (A) 628; (B) 2444; (C) 0.